The following is a DFT calculation (GGA-PBE) of TlIrO2F after structural relaxation.

abc: 3.7338 3.7338 7.1335
angles: 90.00 90.00 90.00
Fractional coordinates of all 5 atoms:
Tl1 0.5000 0.5000 0.5000
Ir1 0.0000 0.0000 0.0000
O1 0.0000 0.5000 0.0000
O2 0.5000 0.0000 0.0000
F1 0.0000 0.0000 0.5000

Values from the calculation:
**Total moment**: 0.45 μB/f.u.
**E_tot**: -5.5108 eV per atom
**Fermi-level density of states**: 4.1 states/eV per cell

The following is a DFT calculation (GGA-PBE) of TlIrO2F after structural relaxation.

abc: 4.3253 4.2905 4.3253
angles: 90.00 90.00 90.00
Fractional coordinates of all 5 atoms:
Tl1 0.0000 0.0000 0.0000
Ir1 0.5000 0.5000 0.5000
O1 0.0000 0.0000 0.5000
O2 0.5000 0.0000 0.0000
F1 0.0000 0.5000 0.0000

Values from the calculation:
**Total moment**: 3.02 μB/f.u.
**E_tot**: -4.0161 eV per atom
**Fermi-level density of states**: 1.7 states/eV per cell

The following is a DFT calculation (GGA-PBE) of Tl2IrO2F4 after structural relaxation.

abc: 4.9592 6.0451 6.0451
angles: 58.99 89.45 89.45
Fractional coordinates of all 9 atoms:
Tl1 0.2136 0.6700 0.6700
Tl2 0.7864 0.3300 0.3300
Ir1 0.5000 0.0000 0.0000
O1 0.3035 0.1467 0.1467
O2 0.6965 0.8533 0.8533
F1 0.2752 0.6843 0.1724
F2 0.7248 0.8276 0.3157
F3 0.7248 0.3157 0.8276
F4 0.2752 0.1724 0.6843

Values from the calculation:
**Total moment**: 1.01 μB/f.u.
**E_tot**: -4.7781 eV per atom
**Fermi-level density of states**: 4.4 states/eV per cell

The following is a DFT calculation (GGA-PBE) of Tl3IrO6F2 after structural relaxation.

abc: 4.8060 6.2899 6.7177
angles: 117.91 87.18 90.00
Fractional coordinates of all 12 atoms:
Tl1 0.0000 0.5000 0.0000
Tl2 0.5000 0.5000 0.5000
Tl3 0.5000 0.0000 0.5000
Ir1 0.5000 0.0000 0.0000
O1 0.7176 0.2889 0.1345
O2 0.2824 0.7111 0.8655
O3 0.7084 0.8497 0.6994
O4 0.2916 0.1503 0.3006
O5 0.2824 0.1544 0.8655
O6 0.7176 0.8456 0.1345
F1 0.1763 0.6735 0.3471
F2 0.8237 0.3265 0.6529

Values from the calculation:
**Total moment**: 0.00 μB/f.u.
**E_tot**: -4.9963 eV per atom
**Fermi-level density of states**: 4.0 states/eV per cell